1.
Compound: SnHgRu2
Source: the Alexandria database
Functional: PBE
Structure: relaxed

a b c (Å): 4.134 4.134 10.078
angles (deg): 78.17 78.17 90.00
Sites, in units of the cell vectors:
1 Ru 0.537 0.125 0.250
2 Ru 0.213 0.625 0.250
3 Ru 0.375 0.463 0.750
4 Ru 0.875 0.787 0.750
5 Hg 0.000 0.000 0.000
6 Hg 0.750 0.250 0.500
7 Sn 0.500 0.500 0.000
8 Sn 0.250 0.750 0.500

Output
Spin magnetization, μB per atom: 0.29
E_form, kJ per mole of atoms: 67
Crystal system: tetragonal



2.
Compound: SnHgRu3
Source: the Alexandria database
Functional: PBE
Structure: relaxed

a b c (Å): 4.881 4.881 4.881
angles (deg): 90.00 90.00 90.00
Sites, in units of the cell vectors:
1 Ru 0.000 0.500 0.000
2 Ru 0.000 0.000 0.500
3 Ru 0.500 0.000 0.000
4 Hg 0.500 0.500 0.500
5 Sn 0.000 0.000 0.000

Output
Spin magnetization, μB per atom: 0.80
E_form, kJ per mole of atoms: 160
Crystal system: cubic
Distance to the lowest polymorph of the same formula, meV/atom: 0



3.
Compound: Ta2SnHgRu
Source: the Alexandria database
Functional: PBE
Structure: relaxed

a b c (Å): 5.084 4.989 5.084
angles (deg): 90.00 90.00 90.00
Sites, in units of the cell vectors:
1 Ru 0.500 0.500 0.500
2 Hg 0.000 0.000 0.000
3 Sn 0.000 0.500 0.000
4 Ta 0.000 0.000 0.500
5 Ta 0.500 0.000 0.000

Output
Spin magnetization, μB per atom: 0.00
E_form, kJ per mole of atoms: 231
Crystal system: tetragonal



4.
Compound: TiSnHgRu2
Source: the Alexandria database
Functional: PBE
Structure: relaxed

a b c (Å): 4.566 5.174 4.566
angles (deg): 90.00 90.00 90.00
Sites, in units of the cell vectors:
1 Ru 0.000 0.000 0.500
2 Ru 0.500 0.000 0.000
3 Ti 0.000 0.000 0.000
4 Hg 0.500 0.500 0.500
5 Sn 0.000 0.500 0.000

Output
Spin magnetization, μB per atom: 0.00
E_form, kJ per mole of atoms: 87
Crystal system: tetragonal



Number 1: final energy -40.1 eV/cell. Number 2: final energy -23.8 eV/cell. Number 3: final energy -25.3 eV/cell. Number 4: final energy -26.2 eV/cell.